1.
Entry from OQMD: an optimized crystal structure of Ag2H12C6N3Cl (GGA-PBE).

Values from the calculation:
DFT total energy, eV for the cell shown: -518.4

Lattice parameters (Å, degrees): 8.819 8.940 13.116 90.00 90.00 90.00
Positions (direct):
C1 0.144 0.155 0.232
C2 0.479 0.118 0.045
H1 0.765 0.012 0.889
H2 0.644 0.903 0.544
Ag1 0.872 0.061 0.643
C3 0.484 0.123 0.459
C4 0.172 0.133 0.691
H3 0.933 0.332 0.528
N1 0.756 0.759 0.745
C5 0.016 0.623 0.959
C6 0.021 0.618 0.545
Cl1 0.097 0.005 0.954
H4 0.470 0.929 0.614
H5 0.233 0.310 0.950
C7 0.715 0.069 0.955
Ag2 0.628 0.561 0.143
H6 0.267 0.810 0.450
H7 0.738 0.523 0.525
H8 0.643 0.917 0.361
H9 0.108 0.361 0.459
N2 0.744 0.259 0.245
N3 0.953 0.542 0.454
H10 0.067 0.668 0.028
C8 0.516 0.877 0.959
Ag3 0.592 0.574 0.752
H11 0.762 0.023 0.025
N4 0.453 0.958 0.454
H12 0.030 0.429 0.114
H13 0.856 0.403 0.044
H14 0.144 0.597 0.544
Ag4 0.372 0.439 0.643
C9 0.285 0.931 0.455
C10 0.672 0.367 0.691
N5 0.547 0.042 0.954
C11 0.856 0.845 0.732
H15 0.433 0.168 0.528
C12 0.828 0.867 0.191
H16 0.970 0.571 0.614
C13 0.521 0.882 0.545
H17 0.996 0.725 0.356
H18 0.032 0.452 0.794
H19 0.235 0.988 0.389
H20 0.567 0.832 0.028
H21 0.968 0.548 0.294
C14 0.979 0.395 0.859
H22 0.504 0.225 0.856
H23 0.238 0.977 0.525
H24 0.468 0.952 0.294
H25 0.608 0.139 0.459
H26 0.067 0.676 0.892
H27 0.356 0.097 0.044
C15 0.521 0.895 0.359
N6 0.236 0.243 0.667
C16 0.785 0.569 0.455
H28 0.003 0.262 0.039
Cl2 0.403 0.505 0.454
C17 0.984 0.377 0.459
H29 0.567 0.824 0.892
Ag5 0.092 0.926 0.752
C18 0.021 0.605 0.359
N7 0.764 0.757 0.167
C19 0.215 0.431 0.955
Cl3 0.903 0.995 0.454
Ag6 0.908 0.074 0.252
H30 0.503 0.238 0.039
N8 0.047 0.458 0.954
H31 0.997 0.738 0.539
N9 0.244 0.241 0.245
H32 0.262 0.477 0.025
Cl4 0.597 0.495 0.954
N10 0.736 0.257 0.667
Ag7 0.128 0.939 0.143
H33 0.357 0.083 0.861
H34 0.857 0.417 0.861
H35 0.004 0.275 0.856
H36 0.497 0.762 0.539
C20 0.979 0.382 0.045
H37 0.433 0.176 0.392
C21 0.644 0.345 0.232
H38 0.733 0.190 0.950
H39 0.933 0.324 0.392
C22 0.356 0.655 0.732
H40 0.532 0.048 0.794
Ag8 0.408 0.426 0.252
N11 0.256 0.741 0.745
N12 0.264 0.743 0.167
H41 0.530 0.071 0.114
H42 0.735 0.512 0.389
H43 0.143 0.583 0.361
C23 0.479 0.105 0.859
H44 0.265 0.488 0.889
H45 0.496 0.775 0.356
H46 0.892 0.639 0.959
H47 0.392 0.861 0.959
H48 0.767 0.690 0.450
C24 0.328 0.633 0.191

=====

2.
Entry from OQMD: an optimized crystal structure of ZnN (GGA-PBE).

Values from the calculation:
DFT total energy, eV for the cell shown: -8.2

Lattice parameters (Å, degrees): 3.045 3.045 3.045 60.00 60.00 60.00
Positions (direct):
N1 0.000 0.000 0.000
Zn1 0.500 0.500 0.500

=====

3.
Entry from OQMD: an optimized crystal structure of GdMgSn2 (GGA-PBE).

Values from the calculation:
DFT total energy, eV for the cell shown: -16.2

Lattice parameters (Å, degrees): 4.774 4.774 4.384 90.00 90.00 90.00
Positions (direct):
Sn1 0.500 0.000 0.000
Mg1 0.000 0.000 0.500
Sn2 0.000 0.500 0.000
Gd1 0.500 0.500 0.500